1.
DFT (GGA-PBE) results for a relaxed YTlTeI2 crystal.

Cell lengths 5.942, 5.942, 5.850 Å; angles 90.00, 90.00, 90.00 degrees
Last column: magnetic moment on the atom in μB.
Element x y z (fractional)
I: 0.000 0.500 0.000  -0.01
I: 0.500 0.000 0.000  -0.01
Y: 0.500 0.500 0.500  0.37
Tl: 0.000 0.000 0.000  -0.01
Te: 0.000 0.000 0.500  -0.03

Energy relative to the lowest polymorph listed for this composition, meV/atom: 973
Total magnetization, μB/cell: 0.577
E_form (uncorrected), eV/atom: 0.0598
Calculated density, Mg/m³: 5.42
Space group: P4/mmm, No. 123
Calculated total energy, eV per cell: -14.8

2.
DFT (GGA-PBE) results for a relaxed YTlTeI2 crystal.

Cell lengths 6.061, 6.061, 5.920 Å; angles 90.00, 90.00, 90.00 degrees
Element x y z (fractional)
I: 0.000 0.500 0.000
I: 0.500 0.000 0.000
Y: 0.000 0.000 0.000
Tl: 0.500 0.500 0.500
Te: 0.000 0.000 0.500

Energy relative to the lowest polymorph listed for this composition, meV/atom: 0
Total magnetization, μB/cell: 0.000
E_form (uncorrected), eV/atom: -0.9131
Calculated density, Mg/m³: 5.15
Space group: P4/mmm, No. 123
Calculated total energy, eV per cell: -19.6

3.
DFT (GGA-PBE) results for a relaxed TlZnTeI2 crystal.

Cell lengths 6.096, 6.096, 5.937 Å; angles 90.00, 90.00, 90.00 degrees
Last column: magnetic moment on the atom in μB.
Element x y z (fractional)
I: 0.000 0.500 0.000  0.04
I: 0.500 0.000 0.000  0.04
Tl: 0.000 0.000 0.000  -0.01
Te: 0.000 0.000 0.500  0.44
Zn: 0.500 0.500 0.500  0.04

Energy relative to the lowest polymorph listed for this composition, meV/atom: 502
Total magnetization, μB/cell: 1.020
E_form (uncorrected), eV/atom: 0.3130
Calculated density, Mg/m³: 4.90
Space group: P4/mmm, No. 123
Calculated total energy, eV per cell: -8.3

4.
DFT (GGA-PBE) results for a relaxed TlZnTeI2 crystal.

Cell lengths 5.752, 5.752, 5.366 Å; angles 90.00, 90.00, 90.00 degrees
Element x y z (fractional)
I: 0.000 0.500 0.000
I: 0.500 0.000 0.000
Tl: 0.500 0.500 0.500
Te: 0.000 0.000 0.500
Zn: 0.000 0.000 0.000

Energy relative to the lowest polymorph listed for this composition, meV/atom: 0
Total magnetization, μB/cell: 0.000
E_form (uncorrected), eV/atom: -0.1893
Calculated density, Mg/m³: 6.09
Space group: P4/mmm, No. 123
Calculated total energy, eV per cell: -10.8

5.
DFT (GGA-PBE) results for a relaxed ZrTlTe2I crystal.

Cell lengths 5.654, 5.654, 5.882 Å; angles 90.00, 90.00, 90.00 degrees
Element x y z (fractional)
I: 0.000 0.000 0.500
Tl: 0.500 0.500 0.500
Te: 0.000 0.500 0.000
Te: 0.500 0.000 0.000
Zr: 0.000 0.000 0.000

Energy relative to the lowest polymorph listed for this composition, meV/atom: 0
Total magnetization, μB/cell: 0.000
E_form (uncorrected), eV/atom: -0.5110
Calculated density, Mg/m³: 5.99
Space group: P4/mmm, No. 123
Calculated total energy, eV per cell: -21.3

6.
DFT (GGA-PBE) results for a relaxed ZrTlTeI2 crystal.

Cell lengths 5.820, 5.820, 5.667 Å; angles 90.00, 90.00, 90.00 degrees
Element x y z (fractional)
I: 0.000 0.500 0.000
I: 0.500 0.000 0.000
Tl: 0.500 0.500 0.500
Te: 0.000 0.000 0.500
Zr: 0.000 0.000 0.000

Energy relative to the lowest polymorph listed for this composition, meV/atom: 0
Total magnetization, μB/cell: 0.000
E_form (uncorrected), eV/atom: -0.5176
Calculated density, Mg/m³: 5.86
Space group: P4/mmm, No. 123
Calculated total energy, eV per cell: -19.7

7.
DFT (GGA-PBE) results for a relaxed ZrTlTe2I crystal.

Cell lengths 5.693, 5.763, 5.693 Å; angles 90.00, 90.00, 90.00 degrees
Element x y z (fractional)
I: 0.500 0.500 0.500
Tl: 0.000 0.000 0.000
Te: 0.000 0.000 0.500
Te: 0.500 0.000 0.000
Zr: 0.000 0.500 0.000

Energy relative to the lowest polymorph listed for this composition, meV/atom: 1308
Total magnetization, μB/cell: 0.000
E_form (uncorrected), eV/atom: 0.7972
Calculated density, Mg/m³: 6.03
Space group: P4/mmm, No. 123
Calculated total energy, eV per cell: -14.8

8.
DFT (GGA-PBE) results for a relaxed TmTeI crystal.

Cell lengths 3.799, 3.799, 7.803 Å; angles 104.09, 104.09, 90.00 degrees
Element x y z (fractional)
I: 0.036 0.036 0.072
Tm: 0.679 0.679 0.358
Te: 0.285 0.285 0.570

Energy relative to the lowest polymorph listed for this composition, meV/atom: 280
Total magnetization, μB/cell: 0.000
E_form (uncorrected), eV/atom: -1.0560
Calculated density, Mg/m³: 6.65
Space group: I4mm, No. 107
Calculated total energy, eV per cell: -12.3